[1]
A relaxed LiY2Pd2 crystal, computed with GGA-PBE.

Properties
Relative energy among the computed polymorphs: 167 meV/atom
Space group: No. 127
Calculated formation energy: -0.529 eV per atom

abc: 8.1931 8.1931 3.3913
angles: 90.00 90.00 90.00
With the nearest neighbours (Å) after each atom.
Fractional positions:
Y  0.3477  0.8477  0.0000  6 Pd 2.93-2.95, 2 Li 3.11
Y  0.8477  0.6523  0.0000  6 Pd 2.93-2.95, 2 Li 3.11
Y  0.6523  0.1523  0.0000  6 Pd 2.93-2.95, 2 Li 3.11
Y  0.1523  0.3477  0.0000  6 Pd 2.93-2.95, 2 Li 3.11
Pd  0.1415  0.6415  0.5000  6 Y 2.93-2.95, 1 Pd 3.28
Pd  0.6415  0.8585  0.5000  6 Y 2.93-2.95, 1 Pd 3.28
Pd  0.8585  0.3585  0.5000  6 Y 2.93-2.95, 1 Pd 3.28
Pd  0.3585  0.1415  0.5000  6 Y 2.93-2.95, 1 Pd 3.28
Li  0.0000  0.0000  0.0000  4 Y 3.11, 2 Li 3.39
Li  0.5000  0.5000  0.0000  4 Y 3.11, 2 Li 3.39



[2]
A relaxed Th4HgPSe2 crystal, computed with GGA-PBE.

Properties
Space group: No. 10
Formation energy from raw total energies: -1.162 eV per atom

abc: 4.2203 7.4731 7.3646
angles: 109.04 90.00 90.00
With the nearest neighbours (Å) after each atom.
Fractional positions:
Th  0.5000  0.2671  0.2517  1 P 2.93, 3 Se 2.96-3.12, 2 Hg 3.08
Th  0.5000  0.7329  0.7483  1 P 2.93, 3 Se 2.96-3.12, 2 Hg 3.08
Th  0.0000  0.2697  0.7620  2 P 2.92, 3 Se 2.98-3.11, 1 Hg 3.07
Th  0.0000  0.7303  0.2380  2 P 2.92, 3 Se 2.98-3.11, 1 Hg 3.07
Hg  0.0000  0.0000  0.0000  6 Th 3.07-3.08
P  0.5000  0.5000  0.0000  6 Th 2.92-2.93
Se  0.5000  0.0000  0.5000  6 Th 3.11-3.12
Se  0.0000  0.5000  0.5000  6 Th 2.96-2.98



[3]
A relaxed La2Tb4PmDy crystal, computed with GGA-PBE.

Properties
Space group: No. 10
Calculated formation energy: 0.027 eV per atom

abc: 5.1614 5.1253 11.3688
angles: 63.15 90.00 90.00
With the nearest neighbours (Å) after each atom.
Fractional positions:
La  0.0000  0.0000  0.0000  8 Tb 3.60-3.61, 4 Dy 3.64
La  0.5000  0.0000  0.5000  8 Tb 3.62-3.63, 4 Pm 3.64
Tb  0.0000  0.7491  0.7510  4 La 3.60-3.63, 2 Pm 3.61, 2 Dy 3.61, 4 Tb 3.63-3.64
Tb  0.0000  0.2509  0.2490  4 La 3.60-3.63, 2 Pm 3.61, 2 Dy 3.61, 4 Tb 3.63-3.64
Tb  0.5000  0.7520  0.2485  2 Dy 3.59-3.60, 4 La 3.61-3.62, 2 Pm 3.63, 4 Tb 3.63-3.64
Tb  0.5000  0.2480  0.7515  2 Dy 3.59-3.60, 4 La 3.61-3.62, 2 Pm 3.63, 4 Tb 3.63-3.64
Pm  0.0000  0.5000  0.5000  8 Tb 3.61-3.63, 4 La 3.64
Dy  0.5000  0.5000  0.0000  8 Tb 3.59-3.61, 4 La 3.64



[4]
A relaxed Cs4SiSe4 crystal, computed with GGA-PBE.

Properties
Relative energy among the computed polymorphs: 326 meV/atom
Space group: No. 87
Formation energy from raw total energies: -0.782 eV per atom

abc: 7.1868 8.1244 8.1244
angles: 78.72 63.75 63.75
With the nearest neighbours (Å) after each atom.
Fractional positions:
Cs  0.7916  0.6306  0.7862  5 Se 3.57-3.93
Cs  0.2084  0.3694  0.2138  5 Se 3.57-3.93
Cs  0.5778  0.2138  0.6306  5 Se 3.57-3.93
Cs  0.4222  0.7862  0.3694  5 Se 3.57-3.93
Si  0.0000  0.0000  0.0000  4 Se 2.41
Se  0.7787  0.2955  0.1470  1 Si 2.41
Se  0.2213  0.7045  0.8530  1 Si 2.41
Se  0.9257  0.8530  0.2955  1 Si 2.41
Se  0.0743  0.1470  0.7045  1 Si 2.41



[5]
A relaxed CaAc5Y crystal, computed with GGA-PBE.

Properties
Space group: No. 123
Calculated formation energy: 0.234 eV per atom

abc: 5.8749 5.8749 9.2243
angles: 90.00 90.00 90.00
With the nearest neighbours (Å) after each atom.
Fractional positions:
Ca  0.0000  0.0000  0.0000  12 Ac 3.95-4.15
Ac  0.5000  0.5000  0.0000  8 Ac 3.95, 4 Ca 4.15
Ac  0.5000  0.0000  0.2858  2 Y 3.54, 3 Ac 3.95, 2 Ca 3.95
Ac  0.0000  0.5000  0.2858  2 Y 3.54, 2 Ca 3.95, 3 Ac 3.95
Ac  0.5000  0.0000  0.7142  2 Y 3.54, 3 Ac 3.95, 2 Ca 3.95
Ac  0.0000  0.5000  0.7142  2 Y 3.54, 2 Ca 3.95, 3 Ac 3.95
Y  0.0000  0.0000  0.5000  8 Ac 3.54



[6]
A relaxed Rb2In2S3 crystal, computed with GGA-PBE.

Properties
Space group: No. 2
Formation energy from raw total energies: -0.668 eV per atom

abc: 4.1447 7.1061 7.8585
angles: 99.18 90.99 103.67
With the nearest neighbours (Å) after each atom.
Fractional positions:
Rb  0.8566  0.7504  0.6220  4 S 3.18-3.34
Rb  0.1434  0.2496  0.3780  4 S 3.18-3.34
In  0.6372  0.2599  0.9242  5 S 2.66-2.97
In  0.3628  0.7401  0.0758  5 S 2.66-2.97
S  0.0000  0.0000  0.0000  4 In 2.77-2.97
S  0.7514  0.5283  0.2104  3 In 2.66-2.93
S  0.2486  0.4717  0.7896  3 In 2.66-2.93



[7]
A relaxed Nd2HgPd9 crystal, computed with GGA-PBE.

Properties
Relative energy among the computed polymorphs: 94 meV/atom
Space group: No. 166
Calculated formation energy: -0.447 eV per atom

abc: 5.4148 5.4148 9.5005
angles: 73.44 73.44 60.00
With the nearest neighbours (Å) after each atom.
Fractional positions:
Nd  0.8658  0.8658  0.4025  9 Pd 3.02-3.25
Nd  0.1342  0.1342  0.5975  9 Pd 3.02-3.25
Hg  0.0000  0.0000  0.0000  6 Pd 3.13
Pd  0.6668  0.6668  0.9995  6 Pd 2.75-2.78
Pd  0.3332  0.3332  0.0005  6 Pd 2.75-2.78
Pd  0.5000  0.5000  0.5000  6 Pd 2.71
Pd  0.4136  0.4136  0.2544  7 Pd 2.68-2.78
Pd  0.9184  0.4136  0.2544  7 Pd 2.68-2.78
Pd  0.4136  0.9184  0.2544  7 Pd 2.68-2.78
Pd  0.5864  0.5864  0.7456  7 Pd 2.68-2.78
Pd  0.5864  0.0816  0.7456  7 Pd 2.68-2.78
Pd  0.0816  0.5864  0.7456  7 Pd 2.68-2.78



[8]
A relaxed Ho3As2Rh5Au2 crystal, computed with GGA-PBE.

Properties
Space group: No. 139
Calculated formation energy: -0.832 eV per atom

abc: 4.0776 4.0776 13.5965
angles: 98.62 98.62 90.00
With the nearest neighbours (Å) after each atom.
Fractional positions:
Ho  0.1601  0.1601  0.3202  1 Au 2.96, 4 Rh 2.98, 4 As 3.01
Ho  0.8399  0.8399  0.6798  1 Au 2.96, 4 Rh 2.98, 4 As 3.01
Ho  0.0000  0.0000  0.0000  12 Rh 2.88-2.91
As  0.3718  0.3718  0.7436  4 Rh 2.43, 1 Au 2.67
As  0.6282  0.6282  0.2564  4 Rh 2.43, 1 Au 2.67
Rh  0.5782  0.0782  0.1564  2 As 2.43
Rh  0.4218  0.9218  0.8436  2 As 2.43
Rh  0.0782  0.5782  0.1564  2 As 2.43
Rh  0.9218  0.4218  0.8436  2 As 2.43
Rh  0.5000  0.5000  0.0000  4 Ho 2.88, 8 Rh 2.91
Au  0.7286  0.7286  0.4572  1 As 2.67, 1 Ho 2.96
Au  0.2714  0.2714  0.5428  1 As 2.67, 1 Ho 2.96



[9]
A relaxed LaPrNd3Tm crystal, computed with GGA-PBE.

Properties
Space group: No. 11
Calculated formation energy: 0.020 eV per atom

abc: 5.2085 8.1755 10.9859
angles: 116.47 90.00 90.00
With the nearest neighbours (Å) after each atom.
Fractional positions:
La  0.7500  0.8778  0.7106  8 Nd 3.66-3.71, 3 Pr 3.67-3.70, 1 Tm 3.68
La  0.2500  0.1222  0.2894  8 Nd 3.66-3.71, 3 Pr 3.67-3.70, 1 Tm 3.68
Pr  0.2500  0.1285  0.6280  5 Nd 3.62-3.70, 3 La 3.67-3.70, 2 Tm 3.68, 2 Pr 3.72
Pr  0.7500  0.8715  0.3720  5 Nd 3.62-3.70, 3 La 3.67-3.70, 2 Tm 3.68, 2 Pr 3.72
Nd  0.2500  0.6234  0.4555  1 Tm 3.65, 3 Pr 3.66-3.70, 5 Nd 3.67-3.72, 3 La 3.67-3.71
Nd  0.7500  0.8684  0.0404  3 Tm 3.57-3.65, 1 Pr 3.63, 5 Nd 3.64-3.73, 3 La 3.66-3.68
Nd  0.7500  0.3766  0.2055  3 Tm 3.61-3.63, 1 Pr 3.62, 6 Nd 3.64-3.72, 2 La 3.70
Nd  0.7500  0.3766  0.5445  1 Tm 3.65, 3 Pr 3.66-3.70, 5 Nd 3.67-3.72, 3 La 3.67-3.71
Nd  0.2500  0.6234  0.7945  3 Tm 3.61-3.63, 1 Pr 3.62, 6 Nd 3.64-3.72, 2 La 3.70
Nd  0.2500  0.1316  0.9596  3 Tm 3.57-3.65, 1 Pr 3.63, 5 Nd 3.64-3.73, 3 La 3.66-3.68
Tm  0.2500  0.6190  0.1216  7 Nd 3.57-3.65, 2 Tm 3.62, 2 Pr 3.68, 1 La 3.68
Tm  0.7500  0.3810  0.8784  7 Nd 3.57-3.65, 2 Tm 3.62, 2 Pr 3.68, 1 La 3.68



[10]
A relaxed SrFeHg2 crystal, computed with GGA-PBE.

Properties
Space group: No. 99
Calculated formation energy: 0.193 eV per atom

abc: 3.7605 3.7605 7.2344
angles: 90.00 90.00 90.02
With the nearest neighbours (Å) after each atom.
Fractional positions:
Fe  0.5000  0.5000  0.8422  5 Hg 2.72-2.75
Hg  0.0000  0.0000  0.9380  4 Fe 2.75
Hg  0.5000  0.5000  0.2180  1 Fe 2.72
Sr  0.0000  0.0000  0.5018  5 Hg 3.16-3.36



[11]
A relaxed K4La3TlO8 crystal, computed with GGA-PBE.

Properties
Space group: No. 12
Formation energy from raw total energies: -2.227 eV per atom

abc: 7.3312 7.5960 7.3415
angles: 118.86 119.95 90.00
With the nearest neighbours (Å) after each atom.
Fractional positions:
K  0.5000  0.0000  0.0000  6 O 2.85-2.86
K  0.5000  0.0000  0.5000  6 O 2.84-2.89
K  0.0000  0.0000  0.0000  6 O 2.84-2.90
K  0.0000  0.0000  0.5000  6 O 2.84-2.89
La  0.5000  0.5000  0.0000  6 O 2.43-2.47
La  0.5000  0.5000  0.5000  6 O 2.43-2.47
La  0.0000  0.5000  0.5000  6 O 2.43-2.47
Tl  0.0000  0.5000  0.0000  6 O 2.44-2.47
O  0.2313  0.6983  0.9667  1 Tl 2.44, 2 La 2.47
O  0.2332  0.6995  0.4664  2 La 2.46, 1 Tl 2.47
O  0.2709  0.3122  0.5419  3 La 2.43
O  0.7354  0.6983  0.9667  1 Tl 2.44, 2 La 2.47
O  0.2646  0.3017  0.0333  1 Tl 2.44, 2 La 2.47
O  0.7291  0.6878  0.4581  3 La 2.43
O  0.7668  0.3005  0.5336  2 La 2.46, 1 Tl 2.47
O  0.7687  0.3017  0.0333  1 Tl 2.44, 2 La 2.47



[12]
A relaxed CeGa4Ni2Os crystal, computed with GGA-PBE.

Properties
Space group: No. 166
Calculated formation energy: -0.327 eV per atom

abc: 4.1387 4.1387 9.2096
angles: 77.02 77.02 60.00
With the nearest neighbours (Å) after each atom.
Fractional positions:
Ce  0.0000  0.0000  0.0000  6 Ga 3.02
Ga  0.4026  0.4026  0.7923  3 Ni 2.54, 1 Os 2.60
Ga  0.8695  0.8695  0.3915  4 Ni 2.51-2.70, 3 Os 2.58
Ga  0.1305  0.1305  0.6085  4 Ni 2.51-2.70, 3 Os 2.58
Ga  0.5974  0.5974  0.2077  3 Ni 2.54, 1 Os 2.60
Ni  0.7684  0.7684  0.6947  7 Ga 2.51-2.70
Ni  0.2316  0.2316  0.3053  7 Ga 2.51-2.70
Os  0.5000  0.5000  0.5000  8 Ga 2.58-2.60



no.,ρ (g cm⁻³)
1,5.8
2,10.0
3,7.6
4,3.8
5,6.6
6,3.7
7,10.5
8,11.7
9,7.0
10,8.8
11,5.1
12,9.1